# 1
The following is a DFT calculation (PBE-GGA) of Th6SiTe3C2 after structural relaxation.

Lattice parameters (Å, degrees): 18.891 4.064 8.784 90.00 109.05 90.00
Space group C2/m (No. 12)
One atom of each set of equivalent atoms:
Th1 0.025 0.000 0.243 (multiplicity 4)
Th2 0.164 0.500 0.134 (multiplicity 4)
Th3 0.182 0.500 0.550 (multiplicity 4)
Si1 0.000 0.500 0.000 (multiplicity 2)
Te1 0.000 0.500 0.500 (multiplicity 2)
Te2 0.160 0.000 0.833 (multiplicity 4)
C1 0.172 0.000 0.339 (multiplicity 4)

Properties
ΔE_f (raw): -0.847 eV/atom
density of states at the Fermi level: 8.1 states/eV/cell

***

# 2
The following is a DFT calculation (PBE-GGA) of NdDyIr after structural relaxation.

Lattice parameters (Å, degrees): 3.525 3.525 13.047 90.00 90.00 90.00
Space group I4mm (No. 107)
One atom of each set of equivalent atoms:
Nd1 0.000 0.000 0.000 (multiplicity 2)
Dy1 0.000 0.000 0.252 (multiplicity 2)
Ir1 0.000 0.000 0.634 (multiplicity 2)

Properties
E_form: -484 meV per atom
density of states at the Fermi level: 6.7 states/eV/cell
offset from the most stable computed form: 0.126 eV per atom

***

# 3
The following is a DFT calculation (PBE-GGA) of FeNi2As after structural relaxation.

Lattice parameters (Å, degrees): 3.778 2.697 9.633 90.00 90.00 90.00
Space group Amm2 (No. 38)
One atom of each set of equivalent atoms:
Fe1 0.000 0.000 0.000 (multiplicity 2)
Ni1 0.000 0.000 0.250 (multiplicity 2)
Ni2 0.500 0.000 0.634 (multiplicity 2)
As1 0.500 0.000 0.387 (multiplicity 2)

Properties
E_form: -16 meV per atom
density of states at the Fermi level: 7.2 states/eV/cell

***

# 4
The following is a DFT calculation (PBE-GGA) of SrCuPb2Se4 after structural relaxation.

Lattice parameters (Å, degrees): 4.268 14.149 14.657 90.00 90.00 90.00
Space group Cmcm (No. 63)
One atom of each set of equivalent atoms:
Sr1 0.000 0.104 0.250 (multiplicity 4)
Cu1 0.000 0.155 0.750 (multiplicity 4)
Pb1 0.000 0.364 0.054 (multiplicity 8)
Se1 0.000 0.000 0.000 (multiplicity 4)
Se2 0.000 0.279 0.633 (multiplicity 8)
Se3 0.000 0.435 0.250 (multiplicity 4)

Properties
ΔE_f (raw): -0.754 eV/atom
density of states at the Fermi level: 21.1 states/eV/cell

***

# 5
The following is a DFT calculation (PBE-GGA) of ZnIn4Hg2 after structural relaxation.

Lattice parameters (Å, degrees): 5.183 5.183 15.684 90.00 90.00 90.00
Space group I4/mmm (No. 139)
One atom of each set of equivalent atoms:
Zn1 0.000 0.000 0.000 (multiplicity 2)
In1 0.000 0.000 0.182 (multiplicity 4)
In2 0.000 0.500 0.000 (multiplicity 4)
Hg1 0.000 0.000 0.369 (multiplicity 4)

Properties
E_form: 166 meV per atom
density of states at the Fermi level: 4.5 states/eV/cell
offset from the most stable computed form: 0.111 eV per atom

***

# 6
The following is a DFT calculation (PBE-GGA) of CeHoPb after structural relaxation.

Lattice parameters (Å, degrees): 5.1215 5.1215 24.7371 90.00 90.00 120.00
Space group R-3m (No. 166, hexagonal axes)
One atom of each set of equivalent atoms:
Ce1 0.0000 0.0000 0.1444 (multiplicity 6)
Ho1 0.0000 0.0000 0.2882 (multiplicity 6)
Pb1 0.0000 0.0000 0.4193 (multiplicity 6)

Properties
E_form: -146 meV per atom
density of states at the Fermi level: 42.7 states/eV/cell
offset from the most stable computed form: 0.266 eV per atom

***

# 7
The following is a DFT calculation (PBE-GGA) of NaTl2PI6 after structural relaxation.

Lattice parameters (Å, degrees): 8.3523 8.3523 20.0807 90.00 90.00 120.00
Space group R3 (No. 146, hexagonal axes)
One atom of each set of equivalent atoms:
Na1 0.0000 0.0000 0.0000 (multiplicity 3)
Tl1 0.0000 0.0000 0.2757 (multiplicity 3)
Tl2 0.0000 0.0000 0.7870 (multiplicity 3)
P1 0.0000 0.0000 0.4933 (multiplicity 3)
I1 0.0277 0.4295 0.2399 (multiplicity 9)
I2 0.0939 0.7244 0.0777 (multiplicity 9)

Properties
ΔE_f (raw): -0.463 eV/atom
density of states at the Fermi level: 0.0 states/eV/cell

***

# 8
The following is a DFT calculation (PBE-GGA) of BaSc4Cd after structural relaxation.

Lattice parameters (Å, degrees): 8.863 8.863 8.863 90.00 90.00 90.00
Space group F-43m (No. 216)
One atom of each set of equivalent atoms:
Ba1 0.000 0.000 0.000 (multiplicity 4)
Sc1 0.123 0.123 0.377 (multiplicity 16)
Cd1 0.250 0.250 0.750 (multiplicity 4)

Properties
E_form: 307 meV per atom
density of states at the Fermi level: 38.1 states/eV/cell